The following is a PBE calculation of a geometry-optimized PRhPb2Au structure, from Alexandria via LeMat-Bulk.

Geometry as POSCAR:
```
PRhPb2Au
1.0
5.654 0.000 0.000
0.000 5.654 0.000
0.000 0.000 4.454
P Rh Pb Au
1 1 2 1
Direct
0.000 0.000 0.000
0.500 0.500 0.000
0.000 0.500 0.500
0.500 0.000 0.500
0.000 0.000 0.500
```

Results
The density of states at the Fermi level is 4.86 states/eV per cell. As for the energy of formation from the pure elements: 908 meV/atom. As for the space group: P4/mmm (123).

---

The following is a PBE calculation of a geometry-optimized P2PbAuS structure, from Alexandria via LeMat-Bulk.

Geometry as POSCAR:
```
P2PbAuS
1.0
5.318 0.000 0.000
0.000 5.318 0.000
0.000 0.000 5.178
P Pb Au S
2 1 1 1
Direct
0.000 0.500 0.000
0.500 0.000 0.000
0.000 0.000 0.000
0.500 0.500 0.500
0.000 0.000 0.500
```

Results
Its uncorrected formation energy is 138 kJ per mole of atoms. The density of states at the Fermi level is 5.14 states/eV per cell. Its relative energy among the computed polymorphs is 749.9 meV/atom. As for the space group: P4/mmm (123).

---

The following is a PBE calculation of a geometry-optimized P2PbAuS structure, from Alexandria via LeMat-Bulk.

Geometry as POSCAR:
```
P2PbAuS
1.0
4.813 0.000 0.000
0.000 4.813 0.000
0.000 0.000 5.147
P Pb Au S
2 1 1 1
Direct
0.000 0.500 0.000
0.500 0.000 0.000
0.000 0.000 0.500
0.500 0.500 0.000
0.500 0.500 0.500
```

Results
Its uncorrected formation energy is 66 kJ per mole of atoms. The density of states at the Fermi level is 4.20 states/eV per cell. Its relative energy among the computed polymorphs is 0.0 meV/atom. As for the space group: P4/mmm (123).